# 1
A plane-wave DFT calculation with PBE was carried out for CaTcBr2 after structural relaxation.

Results
Distance to the lowest polymorph of the same formula ... 0 meV per atom
Electronic total energy ... -4.291 eV/atom
Magnetization ... 1.01 μB per formula unit
Raw formation energy ... -0.363 eV/atom

The structure in CIF format:
```
data_CaTcBr2
_cell_length_a 3.669
_cell_length_b 4.828
_cell_length_c 13.323
_cell_angle_alpha 90.00
_cell_angle_beta 90.00
_cell_angle_gamma 90.00
_symmetry_space_group_name_H-M 'I m m m'
_symmetry_Int_Tables_number 71
_symmetry_space_group_name_Hall '-I 2 2'
loop_
_atom_site_label
_atom_site_fract_x
_atom_site_fract_y
_atom_site_fract_z
Ca1 0.000 0.000 0.000
Tc1 0.000 0.000 0.500
Br1 0.000 0.500 0.137
```

=====

# 2
A plane-wave DFT calculation with PBE was carried out for MnCr2Ir9 after structural relaxation.

Results
Electronic total energy ... -9.140 eV/atom
Energy of formation from the pure elements ... -126 meV/atom
Magnetization ... 0.67 μB per formula unit

The structure in CIF format:
```
data_MnCr2Ir9
_cell_length_a 4.687
_cell_length_b 6.009
_cell_length_c 6.051
_cell_angle_alpha 84.14
_cell_angle_beta 82.94
_cell_angle_gamma 83.06
_symmetry_space_group_name_H-M 'P -1'
_symmetry_Int_Tables_number 2
loop_
_symmetry_equiv_pos_as_xyz
'x,y,z'
'-x,-y,-z'
loop_
_atom_site_label
_atom_site_fract_x
_atom_site_fract_y
_atom_site_fract_z
Mn1 0.000 0.000 0.000
Cr1 0.251 0.915 0.581
Ir1 0.000 0.320 0.668
Ir2 0.247 0.591 0.913
Ir3 0.248 0.238 0.260
Ir4 0.497 0.162 0.828
Ir5 0.500 0.500 0.500
```

=====

# 3
A plane-wave DFT calculation with PBE was carried out for KRbCrS3 after structural relaxation.

Results
Electronic total energy ... -4.940 eV/atom
Magnetization ... 2.00 μB per formula unit
Raw formation energy ... -0.928 eV/atom

The structure in CIF format:
```
data_KRbCrS3
_cell_length_a 7.316
_cell_length_b 14.464
_cell_length_c 6.548
_cell_angle_alpha 90.00
_cell_angle_beta 103.36
_cell_angle_gamma 90.00
_symmetry_space_group_name_H-M 'C 1 2/c 1'
_symmetry_Int_Tables_number 15
loop_
_symmetry_equiv_pos_as_xyz
'x,y,z'
'-x,-y,-z'
'-x,y,-z+1/2'
'x,-y,z+1/2'
'x+1/2,y+1/2,z'
'-x+1/2,-y+1/2,-z'
'-x+1/2,y+1/2,-z+1/2'
'x+1/2,-y+1/2,z+1/2'
loop_
_atom_site_label
_atom_site_fract_x
_atom_site_fract_y
_atom_site_fract_z
K1 0.000 0.092 0.250
Rb1 0.000 0.261 0.750
Cr1 0.000 0.457 0.250
S1 0.000 0.304 0.250
S2 0.196 0.461 0.998
```

=====

# 4
A plane-wave DFT calculation with PBE was carried out for CaInSi after structural relaxation.

Results
Electronic total energy ... -3.163 eV/atom
Magnetization ... 0.00 μB per formula unit
Raw formation energy ... 0.225 eV/atom

The structure in CIF format:
```
data_CaInSi
_cell_length_a 6.953
_cell_length_b 6.953
_cell_length_c 6.953
_cell_angle_alpha 90.00
_cell_angle_beta 90.00
_cell_angle_gamma 90.00
_symmetry_space_group_name_H-M 'F -4 3 m'
_symmetry_Int_Tables_number 216
_symmetry_space_group_name_Hall 'F -4 2 3'
loop_
_atom_site_label
_atom_site_fract_x
_atom_site_fract_y
_atom_site_fract_z
Ca1 0.000 0.000 0.000
In1 0.250 0.250 0.250
Si1 0.250 0.250 0.750
```

=====

What is the formula in the fourth record? CaInSi

=====

What is the magnetization in the fourth record? 0.00 μB per formula unit